[1]
This record from Alexandria via LeMat-Bulk describes Dy3SbPbS after structural relaxation. The functional is PBE.

* total magnetization: 0.0 μB/f.u.
* VASP energy: -5.26 eV per atom
* formation energy without anion corrections: -93.5 kJ/mol of atoms

POSCAR file:
```
Dy3SbPbS
1.0
4.397 0.000 0.000
0.000 8.900 0.955
0.000 -2.442 9.424
Dy Pb S Sb
6 2 2 2
Direct
0.750 0.176 0.468
0.250 0.115 0.869
0.250 0.602 0.865
0.750 0.398 0.135
0.750 0.885 0.131
0.250 0.824 0.532
0.250 0.163 0.205
0.750 0.837 0.795
0.250 0.119 0.596
0.750 0.881 0.404
0.250 0.643 0.181
0.750 0.357 0.819
```



[2]
This record from Alexandria via LeMat-Bulk describes ScCd2In2 after structural relaxation. The functional is PBE.

* total magnetization: 0.0 μB/f.u.
* energy of formation from the pure elements: 0.0038 eV per atom
* VASP energy: -2.72 eV per atom
* energy relative to the lowest polymorph listed for this composition: 50 meV per atom

POSCAR file:
```
ScCd2In2
1.0
-2.714 2.527 2.261
2.211 -0.878 3.635
3.583 5.928 1.847
In Cd Sc
2 2 1
Direct
0.397 0.397 0.207
0.603 0.603 0.793
0.750 0.250 0.500
0.250 0.750 0.500
0.000 0.000 0.000
```